1.
The following is a DFT calculation (PBE) of a relaxed structure of Sr3In6Ag2Sn.

Unit cell a=6.1101 b=6.1101 c=11.3282 alpha=90.00 beta=90.00 gamma=120.00
Atoms (fractional coordinates):
1 Sr 0.0000 0.0000 0.0000
2 Sr 0.3333 0.6667 0.5733
3 Sr 0.6667 0.3333 0.4267
4 In 0.1678 0.3355 0.2600
5 In 0.1678 0.8322 0.2600
6 In 0.3355 0.1678 0.7400
7 In 0.6645 0.8322 0.2600
8 In 0.8322 0.1678 0.7400
9 In 0.8322 0.6645 0.7400
10 Ag 0.3333 0.6667 0.0411
11 Ag 0.6667 0.3333 0.9589
12 Sn 0.0000 0.0000 0.5000

Summary:
**Energy**: -2.761 eV/atom
**Formation energy**: -0.162 eV per atom
**Space-group type**: P-3m1, No. 164
**Magnetization**: 0.0 μB per formula unit
**Fermi-level density of states**: 3.89 states/eV per cell



2.
The following is a DFT calculation (PBE) of a relaxed structure of Mg2RuBr.

Unit cell a=3.2964 b=3.2024 c=7.6837 alpha=90.00 beta=90.07 gamma=90.00
Atoms (fractional coordinates):
1 Mg 0.0006 0.0000 0.2048
2 Mg 0.9994 0.0000 0.7952
3 Ru 0.5000 0.5000 0.0000
4 Br 0.0000 0.5000 0.5000

Summary:
**Energy**: -3.754 eV/atom
**Formation energy without anion corrections**: -220 meV/atom
**Space-group type**: P2/m, No. 10
**Magnetization**: 0.7 μB per formula unit
**Fermi-level density of states**: 3.17 states/eV per cell
**Energy above the most stable polymorph in this dataset**: 0.00 kcal/mol of atoms



3.
The following is a DFT calculation (PBE) of a relaxed structure of CaNd2Sm.

Unit cell a=8.9117 b=8.9117 c=9.3175 alpha=96.68 beta=96.68 gamma=23.60
Atoms (fractional coordinates):
1 Ca 0.1484 0.1484 0.4431
2 Ca 0.8516 0.8516 0.5569
3 Nd 0.2313 0.2313 0.8304
4 Nd 0.4592 0.4592 0.2730
5 Nd 0.5408 0.5408 0.7270
6 Nd 0.7687 0.7687 0.1696
7 Sm 0.0918 0.0918 0.0621
8 Sm 0.9082 0.9082 0.9379

Summary:
**Energy**: -4.016 eV/atom
**Formation energy**: 0.049 eV per atom
**Space-group type**: C2/m, No. 12
**Magnetization**: 0.0 μB per formula unit
**Fermi-level density of states**: 9.95 states/eV per cell
**Energy above the most stable polymorph in this dataset**: 0.31 kcal/mol of atoms



4.
The following is a DFT calculation (PBE) of a relaxed structure of Ac4NdCo.

Unit cell a=10.2966 b=10.2966 c=7.9375 alpha=90.00 beta=90.00 gamma=145.93
Atoms (fractional coordinates):
1 Ac 0.0057 0.9943 0.5000
2 Ac 0.1920 0.8080 0.9745
3 Ac 0.2032 0.7968 0.4758
4 Ac 0.3933 0.6067 0.7324
5 Ac 0.6067 0.3933 0.2324
6 Ac 0.7968 0.2032 0.9758
7 Ac 0.8080 0.1920 0.4745
8 Ac 0.9943 0.0057 0.0000
9 Nd 0.3812 0.6188 0.2293
10 Nd 0.6188 0.3812 0.7293
11 Co 0.0965 0.9035 0.2380
12 Co 0.9035 0.0965 0.7380

Summary:
**Energy**: -4.633 eV/atom
**Formation energy**: 0.085 eV per atom
**Space-group type**: Cmc2_1, No. 36
**Magnetization**: 0.0 μB per formula unit
**Fermi-level density of states**: 19.65 states/eV per cell



5.
The following is a DFT calculation (PBE) of a relaxed structure of Ba2CuRhO6.

Unit cell a=10.1609 b=10.1609 c=10.1609 alpha=33.10 beta=33.10 gamma=33.10
Atoms (fractional coordinates):
1 Ba 0.1258 0.1258 0.1258
2 Ba 0.2869 0.2869 0.2869
3 Ba 0.7131 0.7131 0.7131
4 Ba 0.8742 0.8742 0.8742
5 Cu 0.4077 0.4077 0.4077
6 Cu 0.5923 0.5923 0.5923
7 Rh 0.0000 0.0000 0.0000
8 Rh 0.5000 0.5000 0.5000
9 O 0.1485 0.6116 0.6116
10 O 0.2020 0.2020 0.7162
11 O 0.2020 0.7162 0.2020
12 O 0.2838 0.7980 0.7980
13 O 0.3884 0.3884 0.8515
14 O 0.3884 0.8515 0.3884
15 O 0.6116 0.1485 0.6116
16 O 0.6116 0.6116 0.1485
17 O 0.7162 0.2020 0.2020
18 O 0.7980 0.2838 0.7980
19 O 0.7980 0.7980 0.2838
20 O 0.8515 0.3884 0.3884

Summary:
**Energy**: -5.963 eV/atom
**Formation energy without anion corrections**: -1459 meV/atom
**Space-group type**: R-3m, No. 166
**Magnetization**: 1.4 μB per formula unit
**Fermi-level density of states**: 11.59 states/eV per cell



6.
The following is a DFT calculation (PBE) of a relaxed structure of PmPuCd17.

Unit cell a=7.6878 b=7.6878 c=7.6878 alpha=81.98 beta=81.98 gamma=81.98
Atoms (fractional coordinates):
1 Pm 0.0000 0.0000 0.0000
2 Pu 0.6590 0.6590 0.6590
3 Cd 0.0271 0.3316 0.6335
4 Cd 0.0271 0.6335 0.3316
5 Cd 0.1965 0.6790 0.6790
6 Cd 0.2348 0.2348 0.2348
7 Cd 0.3162 0.3162 0.8482
8 Cd 0.3162 0.8482 0.3162
9 Cd 0.3316 0.0271 0.6335
10 Cd 0.3316 0.6335 0.0271
11 Cd 0.4329 0.4329 0.4329
12 Cd 0.5261 0.9589 0.9589
13 Cd 0.6335 0.0271 0.3316
14 Cd 0.6335 0.3316 0.0271
15 Cd 0.6790 0.1965 0.6790
16 Cd 0.6790 0.6790 0.1965
17 Cd 0.8482 0.3162 0.3162
18 Cd 0.9589 0.5261 0.9589
19 Cd 0.9589 0.9589 0.5261

Summary:
**Energy**: -1.912 eV/atom
**Formation energy**: -0.089 eV per atom
**Space-group type**: R3m, No. 160
**Magnetization**: 5.9 μB per formula unit
**Fermi-level density of states**: 19.42 states/eV per cell



7.
The following is a DFT calculation (PBE) of a relaxed structure of ScIn2Tc.

Unit cell a=9.5860 b=9.5860 c=9.5860 alpha=19.51 beta=19.51 gamma=19.51
Atoms (fractional coordinates):
1 Sc 0.0000 0.0000 0.0000
2 In 0.5250 0.5250 0.5250
3 In 0.7627 0.7627 0.7627
4 Tc 0.2669 0.2669 0.2669

Summary:
**Energy**: -5.456 eV/atom
**Formation energy**: 0.087 eV per atom
**Space-group type**: R3m, No. 160
**Magnetization**: 0.0 μB per formula unit
**Fermi-level density of states**: 2.57 states/eV per cell
**Energy above the most stable polymorph in this dataset**: 4.67 kcal/mol of atoms



8.
The following is a DFT calculation (PBE) of a relaxed structure of CoReW2.

Unit cell a=2.6751 b=4.3610 c=5.1160 alpha=90.00 beta=99.41 gamma=90.00
Atoms (fractional coordinates):
1 Co 0.0000 0.0000 0.0000
2 Re 0.6055 0.5000 0.2542
3 W 0.0919 0.5000 0.7690
4 W 0.3587 0.0000 0.5036

Summary:
**Energy**: -11.197 eV/atom
**Formation energy**: 0.168 eV per atom
**Space-group type**: Pm, No. 6
**Magnetization**: 0.0 μB per formula unit
**Fermi-level density of states**: 3.72 states/eV per cell
**Energy above the most stable polymorph in this dataset**: 1.03 kcal/mol of atoms



9.
The following is a DFT calculation (PBE) of a relaxed structure of K2CrRe.

Unit cell a=5.2543 b=5.2543 c=5.2543 alpha=60.00 beta=60.00 gamma=60.00
Atoms (fractional coordinates):
1 K 0.0000 0.0000 0.0000
2 K 0.2500 0.2500 0.2500
3 Cr 0.7500 0.7500 0.7500
4 Re 0.5000 0.5000 0.5000

Summary:
**Energy**: -4.383 eV/atom
**Formation energy**: 1.684 eV per atom
**Space-group type**: F-43m, No. 216
**Magnetization**: 1.4 μB per formula unit
**Fermi-level density of states**: 4.35 states/eV per cell
**Energy above the most stable polymorph in this dataset**: 18.96 kcal/mol of atoms